# 1
Entry from Alexandria via LeMat-Bulk: Pr3GePb after structural relaxation (PBE). Values from VASP.

Energy relative to the elements (eV per formula unit): -2.548
Magnetic moment (μB/cell): 0.0
SG: No. 15
DOS at the Fermi energy (states/eV/f.u.): 4.62
Crystal system: monoclinic

```
&SYSTEM
  ibrav = 0, nat = 20, ntyp = 3
/
ATOMIC_SPECIES
Pr 140.91 Pr.upf
Ge 72.64 Ge.upf
Pb 207.20 Pb.upf
CELL_PARAMETERS angstrom
6.4133 -5.8214 0.0000
6.4133 5.8214 0.0000
-0.0103 0.0000 8.6573
ATOMIC_POSITIONS crystal
Pr 0.0058 0.1910 0.4141
Pr 0.0705 0.4296 0.8177
Pr 0.1910 0.0058 0.9141
Pr 0.3052 0.4890 0.4146
Pr 0.4296 0.0705 0.3177
Pr 0.4890 0.3052 0.9146
Pr 0.5110 0.6948 0.0854
Pr 0.5704 0.9295 0.6823
Pr 0.6948 0.5110 0.5854
Pr 0.8089 0.9942 0.0859
Pr 0.9295 0.5704 0.1823
Pr 0.9942 0.8089 0.5859
Ge 0.1952 0.2989 0.1318
Ge 0.2989 0.1952 0.6318
Ge 0.7011 0.8048 0.3682
Ge 0.8048 0.7011 0.8682
Pb 0.1624 0.8376 0.2500
Pb 0.3418 0.6582 0.7500
Pb 0.6582 0.3418 0.2500
Pb 0.8376 0.1624 0.7500
```

---

# 2
Entry from Alexandria via LeMat-Bulk: PrGePb after structural relaxation (PBE). Values from VASP.

Energy relative to the elements (eV per formula unit): -1.018
Magnetic moment (μB/cell): 0.0
SG: No. 156
DOS at the Fermi energy (states/eV/f.u.): 2.17
Crystal system: trigonal

```
&SYSTEM
  ibrav = 0, nat = 3, ntyp = 3
/
ATOMIC_SPECIES
Pr 140.91 Pr.upf
Ge 72.64 Ge.upf
Pb 207.20 Pb.upf
CELL_PARAMETERS angstrom
4.8769 0.0000 0.0000
-2.4385 4.2235 0.0000
0.0000 0.0000 4.1447
ATOMIC_POSITIONS crystal
Pr 0.0000 0.0000 0.0000
Ge 0.3333 0.6667 0.4981
Pb 0.6667 0.3333 0.5010
```

---

# 3
Entry from Alexandria via LeMat-Bulk: Pr8Ge5Pb after structural relaxation (PBE). Values from VASP.

Energy relative to the elements (eV per formula unit): -10.539
Magnetic moment (μB/cell): 0.0
SG: No. 82
DOS at the Fermi energy (states/eV/f.u.): 1.85
Crystal system: tetragonal

```
&SYSTEM
  ibrav = 0, nat = 14, ntyp = 3
/
ATOMIC_SPECIES
Pr 140.91 Pr.upf
Ge 72.64 Ge.upf
Pb 207.20 Pb.upf
CELL_PARAMETERS angstrom
-4.6806 4.6806 4.6695
4.6806 -4.6806 4.6695
4.6806 4.6806 -4.6695
ATOMIC_POSITIONS crystal
Pr 0.1261 0.2495 0.7474
Pr 0.1299 0.7370 0.7421
Pr 0.2630 0.0050 0.3929
Pr 0.5021 0.3787 0.2526
Pr 0.6122 0.8701 0.6071
Pr 0.6213 0.8739 0.1234
Pr 0.7505 0.4979 0.8766
Pr 0.9950 0.3878 0.2579
Ge 0.2477 0.6241 0.1243
Ge 0.3759 0.5002 0.6236
Ge 0.4998 0.1234 0.8757
Ge 0.7500 0.2500 0.5000
Ge 0.8766 0.7523 0.3764
Pb 0.0000 0.0000 0.0000
```

---

# 4
Entry from Alexandria via LeMat-Bulk: PrGePb2 after structural relaxation (PBE). Values from VASP.

Energy relative to the elements (eV per formula unit): 0.719
Magnetic moment (μB/cell): 0.0
SG: No. 166
DOS at the Fermi energy (states/eV/f.u.): 2.74
Crystal system: trigonal

```
&SYSTEM
  ibrav = 0, nat = 4, ntyp = 3
/
ATOMIC_SPECIES
Pr 140.91 Pr.upf
Ge 72.64 Ge.upf
Pb 207.20 Pb.upf
CELL_PARAMETERS angstrom
1.8161 1.0485 10.9362
-1.8161 1.0485 10.9362
0.0000 -2.0971 10.9362
ATOMIC_POSITIONS crystal
Pr 0.0000 0.0000 0.0000
Ge 0.5000 0.5000 0.5000
Pb 0.0995 0.0995 0.0995
Pb 0.9005 0.9005 0.9005
```

---

# 5
Entry from Alexandria via LeMat-Bulk: Pr3Ge2Pb after structural relaxation (PBE). Values from VASP.

Energy relative to the elements (eV per formula unit): -3.800
Magnetic moment (μB/cell): 0.0
SG: No. 167
DOS at the Fermi energy (states/eV/f.u.): 3.34
Crystal system: trigonal

```
&SYSTEM
  ibrav = 0, nat = 12, ntyp = 3
/
ATOMIC_SPECIES
Pr 140.91 Pr.upf
Ge 72.64 Ge.upf
Pb 207.20 Pb.upf
CELL_PARAMETERS angstrom
4.0811 2.3562 6.4652
-4.0811 2.3562 6.4652
0.0000 -4.7125 6.4652
ATOMIC_POSITIONS crystal
Pr 0.0589 0.7500 0.4411
Pr 0.2500 0.5589 0.9411
Pr 0.4411 0.0589 0.7500
Pr 0.5589 0.9411 0.2500
Pr 0.7500 0.4411 0.0589
Pr 0.9411 0.2500 0.5589
Ge 0.1581 0.1581 0.1581
Ge 0.3419 0.3419 0.3419
Ge 0.6581 0.6581 0.6581
Ge 0.8419 0.8419 0.8419
Pb 0.0000 0.0000 0.0000
Pb 0.5000 0.5000 0.5000
```

---

# 6
Entry from Alexandria via LeMat-Bulk: Pr12Ge3Pb5 after structural relaxation (PBE). Values from VASP.

Energy relative to the elements (eV per formula unit): -2.378
Magnetic moment (μB/cell): 0.0
SG: No. 230
DOS at the Fermi energy (states/eV/f.u.): 10.44
Crystal system: cubic

```
&SYSTEM
  ibrav = 0, nat = 80, ntyp = 3
/
ATOMIC_SPECIES
Pr 140.91 Pr.upf
Ge 72.64 Ge.upf
Pb 207.20 Pb.upf
CELL_PARAMETERS angstrom
-9.1463 9.1463 9.1463
9.1463 -9.1463 9.1463
9.1463 9.1463 -9.1463
ATOMIC_POSITIONS crystal
Pr 0.0621 0.2288 0.1387
Pr 0.0621 0.3332 0.9234
Pr 0.0766 0.6387 0.4098
Pr 0.0766 0.9379 0.6668
Pr 0.0902 0.7288 0.6668
Pr 0.0902 0.8613 0.4234
Pr 0.1387 0.0621 0.2288
Pr 0.1387 0.5766 0.9098
Pr 0.1668 0.2288 0.5902
Pr 0.1668 0.4379 0.5766
Pr 0.2288 0.1387 0.0621
Pr 0.2288 0.5902 0.1668
Pr 0.2712 0.3332 0.9098
Pr 0.2712 0.4379 0.3613
Pr 0.3332 0.9098 0.2712
Pr 0.3332 0.9234 0.0621
Pr 0.3613 0.2712 0.4379
Pr 0.3613 0.5902 0.9234
Pr 0.4098 0.0766 0.6387
Pr 0.4098 0.8332 0.7712
Pr 0.4234 0.0902 0.8613
Pr 0.4234 0.8332 0.5621
Pr 0.4379 0.3613 0.2712
Pr 0.4379 0.5766 0.1668
Pr 0.5621 0.4234 0.8332
Pr 0.5621 0.6387 0.7288
Pr 0.5766 0.1668 0.4379
Pr 0.5766 0.9098 0.1387
Pr 0.5902 0.1668 0.2288
Pr 0.5902 0.9234 0.3613
Pr 0.6387 0.4098 0.0766
Pr 0.6387 0.7288 0.5621
Pr 0.6668 0.0766 0.9379
Pr 0.6668 0.0902 0.7288
Pr 0.7288 0.5621 0.6387
Pr 0.7288 0.6668 0.0902
Pr 0.7712 0.4098 0.8332
Pr 0.7712 0.8613 0.9379
Pr 0.8332 0.5621 0.4234
Pr 0.8332 0.7712 0.4098
Pr 0.8613 0.4234 0.0902
Pr 0.8613 0.9379 0.7712
Pr 0.9098 0.1387 0.5766
Pr 0.9098 0.2712 0.3332
Pr 0.9234 0.0621 0.3332
Pr 0.9234 0.3613 0.5902
Pr 0.9379 0.6668 0.0766
Pr 0.9379 0.7712 0.8613
Ge 0.1250 0.2500 0.3750
Ge 0.1250 0.3750 0.7500
Ge 0.2500 0.3750 0.1250
Ge 0.2500 0.8750 0.6250
Ge 0.3750 0.1250 0.2500
Ge 0.3750 0.7500 0.1250
Ge 0.6250 0.2500 0.8750
Ge 0.6250 0.8750 0.7500
Ge 0.7500 0.1250 0.3750
Ge 0.7500 0.6250 0.8750
Ge 0.8750 0.6250 0.2500
Ge 0.8750 0.7500 0.6250
Pb 0.0000 0.0000 0.0000
Pb 0.0000 0.0000 0.5000
Pb 0.0000 0.5000 0.0000
Pb 0.0000 0.5000 0.5000
Pb 0.1250 0.7500 0.8750
Pb 0.1250 0.8750 0.2500
Pb 0.2500 0.1250 0.8750
Pb 0.2500 0.6250 0.3750
Pb 0.3750 0.2500 0.6250
Pb 0.3750 0.6250 0.7500
Pb 0.5000 0.0000 0.0000
Pb 0.5000 0.0000 0.5000
Pb 0.5000 0.5000 0.0000
Pb 0.5000 0.5000 0.5000
Pb 0.6250 0.3750 0.2500
Pb 0.6250 0.7500 0.3750
Pb 0.7500 0.3750 0.6250
Pb 0.7500 0.8750 0.1250
Pb 0.8750 0.1250 0.7500
Pb 0.8750 0.2500 0.1250
```

---

# 7
Entry from Alexandria via LeMat-Bulk: Pr5Ge2Pb2 after structural relaxation (PBE). Values from VASP.

Energy relative to the elements (eV per formula unit): -6.101
Magnetic moment (μB/cell): 0.0
SG: No. 64
DOS at the Fermi energy (states/eV/f.u.): 7.83
Crystal system: orthorhombic

```
&SYSTEM
  ibrav = 0, nat = 18, ntyp = 3
/
ATOMIC_SPECIES
Pr 140.91 Pr.upf
Ge 72.64 Ge.upf
Pb 207.20 Pb.upf
CELL_PARAMETERS angstrom
8.0316 -4.1358 0.0000
8.0316 4.1358 0.0000
0.0000 0.0000 8.2744
ATOMIC_POSITIONS crystal
Pr 0.0000 0.0000 0.0000
Pr 0.0473 0.6959 0.6729
Pr 0.1959 0.5473 0.1729
Pr 0.3041 0.9527 0.6729
Pr 0.4527 0.8041 0.1729
Pr 0.5000 0.5000 0.5000
Pr 0.5473 0.1959 0.8271
Pr 0.6959 0.0473 0.3271
Pr 0.8041 0.4527 0.8271
Pr 0.9527 0.3041 0.3271
Ge 0.1244 0.8756 0.3737
Ge 0.3756 0.6244 0.8737
Ge 0.6244 0.3756 0.1263
Ge 0.8756 0.1244 0.6263
Pb 0.2123 0.2123 0.0000
Pb 0.2877 0.2877 0.5000
Pb 0.7123 0.7123 0.5000
Pb 0.7877 0.7877 0.0000
```

---

# 8
Entry from Alexandria via LeMat-Bulk: PrGePb after structural relaxation (PBE). Values from VASP.

Energy relative to the elements (eV per formula unit): -1.238
Magnetic moment (μB/cell): 0.0
SG: No. 129
DOS at the Fermi energy (states/eV/f.u.): 2.46
Crystal system: tetragonal

```
&SYSTEM
  ibrav = 0, nat = 6, ntyp = 3
/
ATOMIC_SPECIES
Pr 140.91 Pr.upf
Ge 72.64 Ge.upf
Pb 207.20 Pb.upf
CELL_PARAMETERS angstrom
4.4471 0.0000 0.0000
0.0000 4.4471 0.0000
0.0000 0.0000 8.5129
ATOMIC_POSITIONS crystal
Pr 0.2500 0.2500 0.1688
Pr 0.7500 0.7500 0.8312
Ge 0.2500 0.2500 0.8138
Ge 0.7500 0.7500 0.1862
Pb 0.2500 0.7500 0.5000
Pb 0.7500 0.2500 0.5000
```

---

# 9
Entry from Alexandria via LeMat-Bulk: Pr4GePb after structural relaxation (PBE). Values from VASP.

Energy relative to the elements (eV per formula unit): -2.964
Magnetic moment (μB/cell): 0.0
SG: No. 11
DOS at the Fermi energy (states/eV/f.u.): 7.64
Crystal system: monoclinic

```
&SYSTEM
  ibrav = 0, nat = 12, ntyp = 3
/
ATOMIC_SPECIES
Pr 140.91 Pr.upf
Ge 72.64 Ge.upf
Pb 207.20 Pb.upf
CELL_PARAMETERS angstrom
5.9978 0.0000 0.0000
0.0000 6.9307 0.0000
-1.6776 0.0000 8.9359
ATOMIC_POSITIONS crystal
Pr 0.1638 0.2500 0.0535
Pr 0.2083 0.7500 0.3669
Pr 0.3189 0.5158 0.7491
Pr 0.3189 0.9842 0.7491
Pr 0.6811 0.0158 0.2509
Pr 0.6811 0.4842 0.2509
Pr 0.7917 0.2500 0.6331
Pr 0.8362 0.7500 0.9465
Ge 0.3400 0.7500 0.0495
Ge 0.6600 0.2500 0.9505
Pb 0.2256 0.2500 0.4188
Pb 0.7744 0.7500 0.5812
```

---

# 10
Entry from Alexandria via LeMat-Bulk: PrGePb2 after structural relaxation (PBE). Values from VASP.

Energy relative to the elements (eV per formula unit): -1.369
Magnetic moment (μB/cell): 0.0
SG: No. 123
DOS at the Fermi energy (states/eV/f.u.): 2.23
Crystal system: tetragonal

```
&SYSTEM
  ibrav = 0, nat = 4, ntyp = 3
/
ATOMIC_SPECIES
Pr 140.91 Pr.upf
Ge 72.64 Ge.upf
Pb 207.20 Pb.upf
CELL_PARAMETERS angstrom
4.6937 0.0000 0.0000
0.0000 4.6937 0.0000
0.0000 0.0000 5.0065
ATOMIC_POSITIONS crystal
Pr 0.0000 0.0000 0.0000
Ge 0.5000 0.5000 0.0000
Pb 0.0000 0.5000 0.5000
Pb 0.5000 0.0000 0.5000
```

---

# 11
Entry from Alexandria via LeMat-Bulk: Pr8Ge2Pb after structural relaxation (PBE). Values from VASP.

Energy relative to the elements (eV per formula unit): -4.230
Magnetic moment (μB/cell): 0.0
SG: No. 12
DOS at the Fermi energy (states/eV/f.u.): 12.39
Crystal system: monoclinic

```
&SYSTEM
  ibrav = 0, nat = 11, ntyp = 3
/
ATOMIC_SPECIES
Pr 140.91 Pr.upf
Ge 72.64 Ge.upf
Pb 207.20 Pb.upf
CELL_PARAMETERS angstrom
9.1607 -2.4212 0.0000
9.1607 2.4212 0.0000
-2.9766 0.0000 7.6336
ATOMIC_POSITIONS crystal
Pr 0.0449 0.0449 0.2511
Pr 0.1758 0.1758 0.7736
Pr 0.3220 0.3220 0.5758
Pr 0.4039 0.4039 0.0384
Pr 0.5961 0.5961 0.9616
Pr 0.6780 0.6780 0.4242
Pr 0.8242 0.8242 0.2264
Pr 0.9551 0.9551 0.7489
Ge 0.2090 0.2090 0.1813
Ge 0.7910 0.7910 0.8187
Pb 0.5000 0.5000 0.5000
```

---

# 12
Entry from Alexandria via LeMat-Bulk: Pr2Ge3Pt4Pb after structural relaxation (PBE). Values from VASP.

Energy relative to the elements (eV per formula unit): -8.026
Magnetic moment (μB/cell): 0.0
SG: No. 115
DOS at the Fermi energy (states/eV/f.u.): 7.33
Crystal system: tetragonal

```
&SYSTEM
  ibrav = 0, nat = 10, ntyp = 4
/
ATOMIC_SPECIES
Pr 140.91 Pr.upf
Ge 72.64 Ge.upf
Pt 195.08 Pt.upf
Pb 207.20 Pb.upf
CELL_PARAMETERS angstrom
4.3537 0.0000 0.0000
0.0000 4.3537 0.0000
0.0000 0.0000 10.9820
ATOMIC_POSITIONS crystal
Pr 0.0000 0.5000 0.2351
Pr 0.5000 0.0000 0.7649
Ge 0.0000 0.5000 0.8785
Ge 0.5000 0.0000 0.1215
Ge 0.5000 0.5000 0.5000
Pt 0.0000 0.0000 0.0000
Pt 0.0000 0.5000 0.6570
Pt 0.5000 0.0000 0.3430
Pt 0.5000 0.5000 0.0000
Pb 0.0000 0.0000 0.5000
```